This record from Alexandria describes an optimized crystal structure of CeTc6P4. The functional is PBE.

```
11
Lattice="-2.0621 3.3704 -5.3976 -3.6446 -2.2170 5.1524 3.2174 2.3411 5.3771" Properties=species:S:1:pos:R:3 pbc="T T T"
Ce 0.0000 0.0000 0.0000
Tc -1.5066 -0.7185 7.2479
Tc 0.9152 0.8902 7.3272
Tc -1.3905 2.1972 -2.1087
Tc 0.5776 2.8558 -0.0102
Tc -0.9347 1.2496 3.1951
Tc -2.8533 0.5767 -0.1226
P 1.2092 0.9606 4.1061
P -1.4132 2.0721 1.1241
P -1.5388 -0.8648 4.0161
P -1.1738 1.4508 6.4153
```

E_tot   -92.8 eV for the cell shown
M_tot   0.00 μB per cell
DFT formation energy   -0.277 eV/atom
Crystal system   tetragonal
Space group   I-42m (121)